[1]
Material: Ac3Cu2HgPd9
Method: DFT, PBE-GGA
State: relaxed

abc: 7.724 7.724 6.559
angles: 90.00 90.00 120.00
Positions (direct):
Ac: 0.000 0.000 0.000
Ac: 0.333 0.667 0.662
Ac: 0.667 0.333 0.338
Cu: 0.333 0.667 0.139
Cu: 0.667 0.333 0.861
Hg: 0.000 0.000 0.500
Pd: 0.000 0.500 0.000
Pd: 0.176 0.351 0.319
Pd: 0.176 0.824 0.319
Pd: 0.351 0.176 0.681
Pd: 0.500 0.000 0.000
Pd: 0.500 0.500 0.000
Pd: 0.649 0.824 0.319
Pd: 0.824 0.176 0.681
Pd: 0.824 0.649 0.681

Properties
As for the space-group type: P-3m1 (164). The calculation puts the energy of formation from the pure elements at -0.3020 eV per atom. As for the crystal system: trigonal. The calculated total energy is -4.806 eV/atom.



[2]
Material: AcPrCuHg
Method: DFT, PBE-GGA
State: relaxed

abc: 5.459 5.459 5.459
angles: 60.00 60.00 60.00
Positions (direct):
Ac: 0.000 0.000 0.000
Pr: 0.500 0.500 0.500
Cu: 0.250 0.250 0.250
Hg: 0.750 0.750 0.750

Properties
As for the space-group type: F-43m (216). The calculation puts the energy of formation from the pure elements at -0.2449 eV per atom. As for the crystal system: cubic. The calculated total energy is -3.566 eV/atom.



[3]
Material: AcCuHgPt
Method: DFT, PBE-GGA
State: relaxed

abc: 5.072 5.072 5.072
angles: 60.00 60.00 60.00
Positions (direct):
Ac: 0.000 0.000 0.000
Cu: 0.250 0.250 0.250
Hg: 0.500 0.500 0.500
Pt: 0.750 0.750 0.750

Properties
As for the space-group type: F-43m (216). The calculation puts the energy of formation from the pure elements at -0.3834 eV per atom. As for the crystal system: cubic. The calculated total energy is -4.020 eV/atom.